No. 1
First-principles (PBE) data for a relaxed NaCo2S3 crystal, as listed in Alexandria.

Computed properties:
As for the energy: -62.0 eV/cell. Its space-group type is P2_1/m, No. 11. Its calculated volume is 216 Å³/cell. Its spin magnetization is 0.00 μB/f.u.

Unit cell a=3.3854 b=6.3191 c=10.3195 alpha=101.92 beta=90.00 gamma=90.00
Fractional positions:
1 S 0.7500 0.7677 0.4280
2 S 0.2500 0.2323 0.5720
3 S 0.7500 0.7869 0.0517
4 S 0.2500 0.1469 0.2955
5 S 0.7500 0.8531 0.7045
6 S 0.2500 0.2131 0.9483
7 Na 0.2500 0.5595 0.8030
8 Na 0.7500 0.4405 0.1970
9 Co 0.2500 0.9970 0.0896
10 Co 0.7500 0.1133 0.4332
11 Co 0.2500 0.8867 0.5668
12 Co 0.7500 0.0030 0.9104



No. 2
First-principles (PBE) data for a relaxed Na6CoS4 crystal, as listed in Alexandria.

Computed properties:
As for the energy: -82.9 eV/cell. Its space-group type is P6_3mc, No. 186. Its calculated volume is 475 Å³/cell. Its spin magnetization is 3.00 μB/f.u.

Unit cell a=8.9048 b=8.9048 c=6.9100 alpha=90.00 beta=90.00 gamma=120.00
Fractional positions:
1 Co 0.6667 0.3333 0.7525
2 Co 0.3333 0.6667 0.2525
3 Na 0.4690 0.9381 0.8674
4 Na 0.8528 0.1472 0.0399
5 Na 0.7055 0.8528 0.5399
6 Na 0.1472 0.8528 0.5399
7 Na 0.1472 0.2945 0.5399
8 Na 0.4690 0.5310 0.8674
9 Na 0.5310 0.4690 0.3674
10 Na 0.9381 0.4690 0.3674
11 Na 0.2945 0.1472 0.0399
12 Na 0.5310 0.0619 0.3674
13 Na 0.8528 0.7055 0.0399
14 Na 0.0619 0.5310 0.8674
15 S 0.1902 0.8098 0.1459
16 S 0.8098 0.1902 0.6459
17 S 0.3805 0.1902 0.6459
18 S 0.1902 0.3805 0.1459
19 S 0.6195 0.8098 0.1459
20 S 0.8098 0.6195 0.6459
21 S 0.6667 0.3333 0.0878
22 S 0.3333 0.6667 0.5878



No. 3
First-principles (PBE) data for a relaxed NaCo2S2 crystal, as listed in Alexandria.

Computed properties:
The relative energy among the computed polymorphs is 84 meV/atom. Its space-group type is C2/c, No. 15. Its calculated volume is 159 Å³/cell. Its spin magnetization is 0.00 μB/f.u.

Unit cell a=5.7455 b=5.7455 c=6.0836 alpha=109.21 beta=109.21 gamma=107.45
Fractional positions:
1 S 0.8203 0.6797 0.2500
2 S 0.4302 0.0698 0.2500
3 S 0.1797 0.3203 0.7500
4 S 0.5698 0.9302 0.7500
5 Co 0.4995 0.2504 0.9976
6 Co 0.7504 0.9995 0.4976
7 Co 0.2496 0.0005 0.5024
8 Co 0.5005 0.7496 0.0024
9 Na 0.1252 0.3748 0.2500
10 Na 0.8748 0.6252 0.7500



No. 4
First-principles (PBE) data for a relaxed NaCo2S2 crystal, as listed in Alexandria.

Computed properties:
The relative energy among the computed polymorphs is 551 meV/atom. Its space-group type is P4/mbm, No. 127. Its calculated volume is 139 Å³/cell. Its spin magnetization is 3.04 μB/f.u.

Unit cell a=6.8708 b=6.8708 c=2.9488 alpha=90.00 beta=90.00 gamma=90.00
Fractional positions:
1 S 0.1702 0.6702 0.5000
2 S 0.8298 0.3298 0.5000
3 S 0.3298 0.1702 0.5000
4 S 0.6702 0.8298 0.5000
5 Co 0.8759 0.6241 0.0000
6 Co 0.1241 0.3759 0.0000
7 Co 0.3759 0.8759 0.0000
8 Co 0.6241 0.1241 0.0000
9 Na 0.5000 0.5000 0.0000
10 Na 0.0000 0.0000 0.0000



No. 5
First-principles (PBE) data for a relaxed NaCo2S crystal, as listed in Alexandria.

Computed properties:
As for the energy: -38.8 eV/cell. Its space-group type is I4_1/amd, No. 141. Its calculated volume is 153 Å³/cell. Its spin magnetization is 2.31 μB/f.u.

Unit cell a=4.6041 b=4.6041 c=7.9319 alpha=73.13 beta=73.13 gamma=90.00
Fractional positions:
1 S 0.0000 0.0000 0.0000
2 S 0.7500 0.2500 0.5000
3 Co 0.8746 0.6250 0.2500
4 Co 0.8754 0.1250 0.2500
5 Co 0.8750 0.1254 0.7500
6 Co 0.3750 0.1246 0.7500
7 Na 0.5000 0.5000 0.0000
8 Na 0.2500 0.7500 0.5000



No. 6
First-principles (PBE) data for a relaxed NaCoS3 crystal, as listed in Alexandria.

Computed properties:
The relative energy among the computed polymorphs is 216 meV/atom. Its space-group type is Pm-3m, No. 221. Its calculated volume is 93 Å³/cell. Its spin magnetization is 2.23 μB/f.u.

Unit cell a=4.5332 b=4.5332 c=4.5332 alpha=90.00 beta=90.00 gamma=90.00
Fractional positions:
1 Na 0.5000 0.5000 0.5000
2 S 0.0000 0.0000 0.5000
3 S 0.0000 0.5000 0.0000
4 S 0.5000 0.0000 0.0000
5 Co 0.0000 0.0000 0.0000



No. 7
First-principles (PBE) data for a relaxed Na2Co3S6 crystal, as listed in Alexandria.

Computed properties:
As for the energy: -54.9 eV/cell. Its space-group type is C2/m, No. 12. Its calculated volume is 194 Å³/cell. Its spin magnetization is 0.00 μB/f.u.

Unit cell a=5.8565 b=5.8562 c=6.8266 alpha=81.79 beta=73.40 gamma=60.00
Fractional positions:
1 Co 0.3339 0.3323 0.0000
2 Co 0.0000 0.0000 0.0000
3 Co 0.6661 0.6677 0.0000
4 S 0.0580 0.3339 0.8241
5 S 0.3919 0.6661 0.8241
6 S 0.6081 0.3339 0.1759
7 S 0.9420 0.6661 0.1759
8 S 0.7270 0.0000 0.8206
9 S 0.2730 0.0000 0.1794
10 Na 0.8333 0.3334 0.5000
11 Na 0.1667 0.6666 0.5000



No. 8
First-principles (PBE) data for a relaxed Na3Co2S4 crystal, as listed in Alexandria.

Computed properties:
As for the energy: -40.4 eV/cell. Its space-group type is C2/m, No. 12. Its calculated volume is 167 Å³/cell. Its spin magnetization is 1.95 μB/f.u.

Unit cell a=3.3517 b=6.7524 c=7.8343 alpha=102.98 beta=90.00 gamma=104.37
Fractional positions:
1 S 0.0933 0.1866 0.7155
2 S 0.3197 0.6394 0.8707
3 S 0.9067 0.8134 0.2845
4 S 0.6803 0.3606 0.1293
5 Na 0.0000 0.0000 0.0000
6 Na 0.4009 0.8018 0.5748
7 Na 0.5991 0.1982 0.4252
8 Co 0.7046 0.4092 0.8508
9 Co 0.2954 0.5908 0.1492



No. 9
First-principles (PBE) data for a relaxed NaCoS3 crystal, as listed in Alexandria.

Computed properties:
The relative energy among the computed polymorphs is 0 meV/atom. Its space-group type is Pmmn, No. 59. Its calculated volume is 194 Å³/cell. Its spin magnetization is 0.00 μB/f.u.

Unit cell a=3.2244 b=8.3435 c=7.2143 alpha=90.00 beta=90.00 gamma=90.00
Fractional positions:
1 S 0.7500 0.6193 0.8419
2 S 0.2500 0.3807 0.1581
3 S 0.2500 0.2500 0.7716
4 S 0.7500 0.7500 0.2284
5 S 0.2500 0.1193 0.1581
6 S 0.7500 0.8807 0.8419
7 Na 0.7500 0.2500 0.4635
8 Na 0.2500 0.7500 0.5365
9 Co 0.7500 0.2500 0.9844
10 Co 0.2500 0.7500 0.0156



No. 10
First-principles (PBE) data for a relaxed NaCo2S2 crystal, as listed in Alexandria.

Computed properties:
The relative energy among the computed polymorphs is 0 meV/atom. Its space-group type is I4/mmm, No. 139. Its calculated volume is 80 Å³/cell. Its spin magnetization is 1.87 μB/f.u.

Unit cell a=3.7037 b=3.7037 c=6.3689 alpha=106.90 beta=106.90 gamma=90.00
Fractional positions:
1 Na 0.0000 0.0000 0.0000
2 Co 0.7500 0.2500 0.5000
3 Co 0.2500 0.7500 0.5000
4 S 0.6456 0.6456 0.2912
5 S 0.3544 0.3544 0.7088



No. 11
First-principles (PBE) data for a relaxed Na4CoS4 crystal, as listed in Alexandria.

Computed properties:
As for the energy: -34.8 eV/cell. Its space-group type is I-42m, No. 121. Its calculated volume is 237 Å³/cell. Its spin magnetization is 0.97 μB/f.u.

Unit cell a=6.6407 b=6.6407 c=7.1314 alpha=117.75 beta=117.75 gamma=90.00
Fractional positions:
1 Na 0.3067 0.3067 0.6134
2 Na 0.6933 0.6933 0.3866
3 Na 0.5000 0.0000 0.0000
4 Na 0.0000 0.5000 0.0000
5 S 0.6966 0.6966 0.7755
6 S 0.9211 0.3034 0.2245
7 S 0.3034 0.9211 0.2245
8 S 0.0789 0.0789 0.7755
9 Co 0.0000 0.0000 0.0000



No. 12
First-principles (PBE) data for a relaxed NaCo2S2 crystal, as listed in Alexandria.

Computed properties:
The relative energy among the computed polymorphs is 329 meV/atom. Its space-group type is I4/mmm, No. 139. Its calculated volume is 74 Å³/cell. Its spin magnetization is 0.74 μB/f.u.

Unit cell a=4.2515 b=4.2515 c=5.0781 alpha=65.25 beta=65.25 gamma=90.00
Fractional positions:
1 Co 0.3469 0.3469 0.3062
2 Co 0.6531 0.6531 0.6938
3 S 0.2500 0.7500 0.5000
4 S 0.7500 0.2500 0.5000
5 Na 0.0000 0.0000 0.0000



No. 13
First-principles (PBE) data for a relaxed Na4CoSn3S8 crystal, as listed in Alexandria.

Computed properties:
As for the energy: -68.1 eV/cell. Its space-group type is R-3m, No. 166. Its calculated volume is 336 Å³/cell. Its spin magnetization is 2.74 μB/f.u.

Unit cell a=7.6127 b=8.0102 c=7.6120 alpha=118.39 beta=120.00 gamma=90.00
Fractional positions:
1 Co 0.0000 0.5000 0.0000
2 S 0.2275 0.7078 0.9804
3 S 0.2471 0.2922 0.0196
4 S 0.7444 0.7333 0.4888
5 S 0.7725 0.2921 0.5449
6 S 0.7725 0.2922 0.0196
7 S 0.2275 0.7079 0.4551
8 S 0.7529 0.7078 0.9804
9 S 0.2556 0.2667 0.5112
10 Na 0.0000 0.0000 0.0000
11 Na 0.0000 0.0000 0.5000
12 Na 0.5000 0.0000 0.5000
13 Na 0.5000 0.0000 0.0000
14 Sn 0.0000 0.5000 0.5000
15 Sn 0.5000 0.5000 0.0000
16 Sn 0.5000 0.5000 0.5000



No. 14
First-principles (PBE) data for a relaxed Na2Ta2CoS6 crystal, as listed in Alexandria.

Computed properties:
As for the energy: -68.1 eV/cell. Its space-group type is C2/m, No. 12. Its calculated volume is 218 Å³/cell. Its spin magnetization is 1.06 μB/f.u.

Unit cell a=6.0697 b=6.0697 c=7.1835 alpha=97.05 beta=97.05 gamma=121.83
Fractional positions:
1 S 0.9485 0.6109 0.3048
2 S 0.0515 0.3891 0.6952
3 S 0.7592 0.7592 0.7218
4 S 0.2408 0.2408 0.2782
5 S 0.3891 0.0515 0.6952
6 S 0.6109 0.9485 0.3048
7 Co 0.0000 0.0000 0.5000
8 Na 0.8250 0.1750 0.0000
9 Na 0.1750 0.8250 0.0000
10 Ta 0.3574 0.6426 0.5000
11 Ta 0.6426 0.3574 0.5000



No. 15
First-principles (PBE) data for a relaxed Na2TaCoS crystal, as listed in Alexandria.

Computed properties:
As for the energy: -20.6 eV/cell. Its space-group type is P4/mmm, No. 123. Its calculated volume is 105 Å³/cell. Its spin magnetization is 0.00 μB/f.u.

Unit cell a=5.1106 b=4.0264 c=5.1106 alpha=90.00 beta=90.00 gamma=90.00
Fractional positions:
1 Co 0.0000 0.5000 0.0000
2 Na 0.5000 0.0000 0.0000
3 Na 0.0000 0.0000 0.5000
4 S 0.0000 0.0000 0.0000
5 Ta 0.5000 0.5000 0.5000



No. 16
First-principles (PBE) data for a relaxed Na2CoTe2S6 crystal, as listed in Alexandria.

Computed properties:
As for the energy: -44.4 eV/cell. Its space-group type is C2/m, No. 12. Its calculated volume is 257 Å³/cell. Its spin magnetization is 0.00 μB/f.u.

Unit cell a=6.4882 b=6.4882 c=7.1176 alpha=100.84 beta=100.84 gamma=113.76
Fractional positions:
1 Na 0.1774 0.8226 0.0000
2 Na 0.8226 0.1774 0.0000
3 S 0.3491 0.0495 0.6980
4 S 0.6509 0.9505 0.3020
5 S 0.9505 0.6509 0.3020
6 S 0.0495 0.3491 0.6980
7 S 0.1953 0.1953 0.2955
8 S 0.8047 0.8047 0.7045
9 Co 0.0000 0.0000 0.5000
10 Te 0.3310 0.6690 0.5000
11 Te 0.6690 0.3310 0.5000



No. 17
First-principles (PBE) data for a relaxed NaCoTeS2 crystal, as listed in Alexandria.

Computed properties:
As for the energy: -20.0 eV/cell. Its space-group type is P4/mmm, No. 123. Its calculated volume is 109 Å³/cell. Its spin magnetization is 1.81 μB/f.u.

Unit cell a=4.4299 b=5.5556 c=4.4299 alpha=90.00 beta=90.00 gamma=90.00
Fractional positions:
1 S 0.0000 0.0000 0.5000
2 S 0.5000 0.0000 0.0000
3 Na 0.5000 0.5000 0.5000
4 Te 0.0000 0.5000 0.0000
5 Co 0.0000 0.0000 0.0000



No. 18
First-principles (PBE) data for a relaxed Na4Th3CoS8 crystal, as listed in Alexandria.

Computed properties:
As for the energy: -90.3 eV/cell. Its space-group type is R-3m, No. 166. Its calculated volume is 371 Å³/cell. Its spin magnetization is 2.67 μB/f.u.

Unit cell a=7.9475 b=8.1925 c=7.9472 alpha=119.01 beta=120.00 gamma=90.00
Fractional positions:
1 Th 0.5000 0.5000 0.0000
2 Th 0.0000 0.5000 0.5000
3 Th 0.5000 0.5000 0.5000
4 Co 0.0000 0.5000 0.0000
5 S 0.7548 0.7263 0.9905
6 S 0.2515 0.2545 0.5030
7 S 0.7642 0.2737 0.0095
8 S 0.7485 0.7455 0.4970
9 S 0.7639 0.2733 0.5277
10 S 0.2361 0.7267 0.4723
11 S 0.2358 0.7263 0.9905
12 S 0.2452 0.2737 0.0095
13 Na 0.0000 0.0000 0.5000
14 Na 0.0000 0.0000 0.0000
15 Na 0.5000 0.0000 0.5000
16 Na 0.5000 0.0000 0.0000



No. 19
First-principles (PBE) data for a relaxed Na2U2CoS6 crystal, as listed in Alexandria.

Computed properties:
As for the energy: -69.1 eV/cell. Its space-group type is C2/m, No. 12. Its calculated volume is 251 Å³/cell. Its spin magnetization is 4.86 μB/f.u.

Unit cell a=6.5009 b=6.5009 c=7.1812 alpha=98.49 beta=98.49 gamma=120.04
Fractional positions:
1 S 0.0686 0.3939 0.7146
2 S 0.7634 0.7634 0.7131
3 S 0.6061 0.9314 0.2854
4 S 0.3939 0.0686 0.7146
5 S 0.2366 0.2366 0.2869
6 S 0.9314 0.6061 0.2854
7 U 0.6630 0.3370 0.5000
8 U 0.3370 0.6630 0.5000
9 Na 0.8329 0.1671 0.0000
10 Na 0.1671 0.8329 0.0000
11 Co 0.0000 0.0000 0.5000



No. 20
First-principles (PBE) data for a relaxed Na2UCoS4 crystal, as listed in Alexandria.

Computed properties:
As for the energy: -44.7 eV/cell. Its space-group type is I-42m, No. 121. Its calculated volume is 155 Å³/cell. Its spin magnetization is 1.00 μB/f.u.

Unit cell a=6.3991 b=5.8648 c=5.8648 alpha=72.68 beta=56.94 gamma=56.94
Fractional positions:
1 S 0.1093 0.3707 0.0000
2 S 0.5200 0.0000 0.3707
3 S 0.4800 0.6293 0.0000
4 S 0.8907 0.0000 0.6293
5 Na 0.5000 0.5000 0.5000
6 Na 0.0000 0.5000 0.5000
7 Co 0.5000 0.0000 0.0000
8 U 0.0000 0.0000 0.0000



No. 21
First-principles (PBE) data for a relaxed Na3UCo2S6 crystal, as listed in Alexandria.

Computed properties:
As for the energy: -65.1 eV/cell. Its space-group type is C2/m, No. 12. Its calculated volume is 220 Å³/cell. Its spin magnetization is 3.04 μB/f.u.

Unit cell a=6.1292 b=6.1292 c=7.0641 alpha=98.43 beta=98.43 gamma=119.96
Fractional positions:
1 S 0.0679 0.4327 0.2028
2 S 0.2967 0.2967 0.7978
3 S 0.9321 0.5673 0.7972
4 S 0.4327 0.0679 0.2028
5 S 0.5673 0.9321 0.7972
6 S 0.7033 0.7033 0.2022
7 Na 0.1602 0.8398 0.5000
8 Na 0.8398 0.1602 0.5000
9 Na 0.5000 0.5000 0.5000
10 Co 0.3330 0.6670 0.0000
11 Co 0.6670 0.3330 0.0000
12 U 0.0000 0.0000 0.0000



No. 22
First-principles (PBE) data for a relaxed Na2VCo2S6 crystal, as listed in Alexandria.

Computed properties:
As for the energy: -58.3 eV/cell. Its space-group type is C2/m, No. 12. Its calculated volume is 200 Å³/cell. Its spin magnetization is 0.97 μB/f.u.

Unit cell a=5.9107 b=5.9107 c=6.9787 alpha=97.80 beta=97.80 gamma=121.44
Fractional positions:
1 Na 0.1628 0.8372 0.0000
2 Na 0.8372 0.1628 0.0000
3 S 0.0551 0.4067 0.6844
4 S 0.5933 0.9449 0.3156
5 S 0.9449 0.5933 0.3156
6 S 0.7157 0.7157 0.6905
7 S 0.2843 0.2843 0.3095
8 S 0.4067 0.0551 0.6844
9 Co 0.3352 0.6648 0.5000
10 Co 0.6648 0.3352 0.5000
11 V 0.0000 0.0000 0.5000



The records above yield theoretical density values of 3.645 2.276 4.275 4.890 3.745 3.175 3.548 3.132 3.048 4.274 1.958 4.601 3.774 5.031 5.020 3.563 4.168 4.936 5.117 5.061 4.663 3.383 g cm⁻³, respectively.